Density functional theory data (GGA-PBEsol) for HgTeS2 after structural relaxation.

a b c (Å): 3.7121 3.7121 9.7998
angles (deg): 79.08 79.08 60.00
Element x y z (fractional)
S  0.1114  0.1114  0.6659
Hg  0.0000  0.0000  0.0000
Te  0.5000  0.5000  0.5000
S  0.8886  0.8886  0.3341

Calculated values
Its density is 5.71 Mg/m³. The crystal system is trigonal. Its uncorrected formation energy is 0.11 eV per atom. The value obtained for the energy above the most stable polymorph in this dataset is 0.0 meV/atom. For the total energy, the calculation gives -12.41 eV/f.u.

***

Density functional theory data (GGA-PBEsol) for Hg3TeS after structural relaxation.

a b c (Å): 5.0835 5.0835 5.0835
angles (deg): 90.00 90.00 90.00
Element x y z (fractional)
Hg  0.0000  0.5000  0.0000
Te  0.5000  0.5000  0.5000
Hg  0.5000  0.0000  0.0000
Hg  0.0000  0.0000  0.5000
S  0.0000  0.0000  0.0000

Calculated values
Its density is 9.63 Mg/m³. The crystal system is cubic. Its uncorrected formation energy is 0.20 eV per atom. For the total energy, the calculation gives -8.59 eV/f.u.

***

Density functional theory data (GGA-PBEsol) for HgTeS2 after structural relaxation.

a b c (Å): 5.1846 5.1846 8.5099
angles (deg): 107.74 107.74 90.00
Element x y z (fractional)
S  0.8700  0.3750  0.2500
S  0.3800  0.8750  0.2500
S  0.1250  0.1300  0.7500
Hg  0.0000  0.0000  0.0000
Hg  0.2500  0.7500  0.5000
S  0.6250  0.6200  0.7500
Te  0.5000  0.5000  0.0000
Te  0.7500  0.2500  0.5000

Calculated values
Its density is 6.31 Mg/m³. The crystal system is tetragonal. Its uncorrected formation energy is 0.21 eV per atom. The value obtained for the energy above the most stable polymorph in this dataset is 97.3 meV/atom. For the total energy, the calculation gives -12.02 eV/f.u.

***

Question: Among the records above, which one has the highest density?
Answer: Hg3TeS